[1]
A geometry-optimized Pu3U2S8 structure, computed with GGA-PBE.

Summary:
- space group = C2/m (12)
- total DFT energy (no corrections) (Ry per atom) = -0.6606

Unit cell a=6.6552 b=7.8648 c=8.0286 alpha=119.33 beta=106.90 gamma=90.00
Element x y z (fractional)
Pu (0.0000, 0.2595, 0.0000)
Pu (0.0000, 0.7405, 0.0000)
Pu (0.5000, 0.0000, 0.0000)
S (0.4177, 0.8946, 0.2563)
S (0.1152, 0.3884, 0.7767)
S (0.0608, 0.8798, 0.7595)
S (0.9392, 0.1202, 0.2405)
S (0.4177, 0.3617, 0.2563)
S (0.5823, 0.1054, 0.7437)
S (0.8848, 0.6116, 0.2233)
S (0.5823, 0.6383, 0.7437)
U (0.3420, 0.2612, 0.5224)
U (0.6580, 0.7388, 0.4776)

=====

[2]
A geometry-optimized Sm5Zn structure, computed with GGA-PBE.

Summary:
- E above lowest polymorph (eV per formula unit) = 0.00
- space group = C2/m (12)
- formation energy from the elements (kJ/mol of atoms) = -7.86

Unit cell a=3.7263 b=6.4779 c=8.7132 alpha=67.53 beta=77.65 gamma=73.28
Element x y z (fractional)
Sm (0.6666, 0.9641, 0.7027)
Sm (0.0000, 0.5000, 0.5000)
Sm (0.3606, 0.4184, 0.8605)
Sm (0.6394, 0.5816, 0.1395)
Sm (0.3334, 0.0359, 0.2973)
Zn (0.0000, 0.0000, 0.0000)

=====

[3]
A geometry-optimized SrTlAsF6 structure, computed with GGA-PBE.

Summary:
- space group = P1 (1)
- total DFT energy (no corrections) (Ry per atom) = -0.3540

Unit cell a=6.3139 b=6.3150 c=5.4538 alpha=90.02 beta=89.96 gamma=59.94
Element x y z (fractional)
Tl (0.0001, 0.9997, 0.0344)
F (0.9965, 0.3437, 0.3021)
F (0.3551, 0.0822, 0.6879)
F (0.5628, 0.3555, 0.6878)
F (0.6597, 0.9956, 0.3015)
F (0.0812, 0.5636, 0.6879)
F (0.3446, 0.6600, 0.3009)
As (0.3332, 0.3334, 0.4772)
Sr (0.6664, 0.6666, 0.5202)

=====

[4]
A geometry-optimized ErInNi3 structure, computed with GGA-PBE.

Summary:
- space group = Cmcm (63)
- formation energy from the elements (kJ/mol of atoms) = -26.28

Unit cell a=4.9770 b=4.7162 c=7.4929 alpha=90.00 beta=109.40 gamma=90.00
Element x y z (fractional)
Ni (0.1385, 0.2500, 0.7600)
Ni (0.0000, 0.5000, 0.0000)
Ni (0.8615, 0.7500, 0.2400)
Ni (0.3785, 0.7500, 0.2400)
Ni (0.0000, 0.0000, 0.0000)
Ni (0.6215, 0.2500, 0.7600)
In (0.4304, 0.7500, 0.8608)
In (0.5696, 0.2500, 0.1392)
Er (0.7984, 0.7500, 0.5967)
Er (0.2016, 0.2500, 0.4033)

=====

[5]
A geometry-optimized LaAgPt structure, computed with GGA-PBE.

Summary:
- E above lowest polymorph (eV per formula unit) = 0.45
- space group = I4mm (107)
- formation energy from the elements (kJ/mol of atoms) = -60.13

Unit cell a=3.8643 b=3.8643 c=5.4169 alpha=110.90 beta=110.90 gamma=90.00
Element x y z (fractional)
Ag (0.2804, 0.2804, 0.5607)
La (0.9622, 0.9622, 0.9245)
Pt (0.6074, 0.6074, 0.2148)

=====

[6]
A geometry-optimized MgTlAgSn structure, computed with GGA-PBE.

Summary:
- space group = F-43m (216)
- formation energy from the elements (kJ/mol of atoms) = 2.13

Unit cell a=5.1272 b=5.1272 c=5.1272 alpha=60.00 beta=60.00 gamma=60.00
Element x y z (fractional)
Sn (0.2500, 0.2500, 0.2500)
Mg (0.0000, 0.0000, 0.0000)
Ag (0.5000, 0.5000, 0.5000)
Tl (0.7500, 0.7500, 0.7500)

=====

[7]
A geometry-optimized Tl2InW structure, computed with GGA-PBE.

Summary:
- E above lowest polymorph (eV per formula unit) = 0.08
- space group = P4mm (99)
- formation energy from the elements (kJ/mol of atoms) = 61.40

Unit cell a=2.9984 b=2.9984 c=10.7596 alpha=90.00 beta=90.00 gamma=90.00
Element x y z (fractional)
W (0.0000, 0.0000, 0.5141)
Tl (0.0000, 0.0000, 0.9827)
Tl (0.5000, 0.5000, 0.2891)
In (0.5000, 0.5000, 0.7141)

=====

[8]
A geometry-optimized SrScGa structure, computed with GGA-PBE.

Summary:
- E above lowest polymorph (eV per formula unit) = 0.77
- space group = C2/m (12)
- formation energy from the elements (kJ/mol of atoms) = -12.51

Unit cell a=4.0839 b=6.6385 c=7.3079 alpha=75.25 beta=89.98 gamma=72.08
Element x y z (fractional)
Ga (0.9434, 0.4213, 0.1462)
Ga (0.3261, 0.6566, 0.9587)
Sc (0.3783, 0.5517, 0.3643)
Sc (0.8913, 0.5261, 0.7406)
Sr (0.6348, 0.0389, 0.0524)
Sr (0.1350, 0.0389, 0.5524)

=====

[9]
A geometry-optimized MgCo2Mo structure, computed with GGA-PBE.

Summary:
- space group = Pmmm (47)
- formation energy from the elements (kJ/mol of atoms) = 7.24

Unit cell a=2.9688 b=2.9848 c=6.9225 alpha=64.51 beta=90.00 gamma=90.00
Element x y z (fractional)
Co (0.0000, 0.4769, 0.5230)
Co (0.0000, 0.0231, 0.9770)
Mo (0.5000, 0.7500, 0.7500)
Mg (0.5000, 0.2500, 0.2500)

=====

[10]
A geometry-optimized Cd2TePd5 structure, computed with GGA-PBE.

Summary:
- space group = I4/mmm (139)
- total DFT energy (no corrections) (Ry per atom) = -0.3053

Unit cell a=4.2036 b=4.2036 c=8.3692 alpha=104.54 beta=104.54 gamma=90.00
Element x y z (fractional)
Pd (0.3749, 0.8749, 0.7497)
Pd (0.5000, 0.5000, 0.0000)
Pd (0.1251, 0.6251, 0.2503)
Pd (0.8749, 0.3749, 0.7497)
Pd (0.6251, 0.1251, 0.2503)
Cd (0.2530, 0.2530, 0.5059)
Cd (0.7470, 0.7470, 0.4941)
Te (0.0000, 0.0000, 0.0000)

=====

[11]
A geometry-optimized K2ZrBiS4 structure, computed with GGA-PBE.

Summary:
- space group = P2/m (10)
- total DFT energy (no corrections) (Ry per atom) = -0.3664

Unit cell a=3.9401 b=7.1245 c=7.6504 alpha=106.78 beta=90.00 gamma=90.00
Element x y z (fractional)
K (0.0000, 0.5000, 0.5000)
K (0.5000, 0.0000, 0.5000)
S (0.5000, 0.7459, 0.7956)
S (0.0000, 0.7188, 0.1971)
S (0.5000, 0.2541, 0.2044)
S (0.0000, 0.2812, 0.8029)
Bi (0.0000, 0.0000, 0.0000)
Zr (0.5000, 0.5000, 0.0000)

=====

[12]
A geometry-optimized BeOs2Pt structure, computed with GGA-PBE.

Summary:
- space group = P4/mmm (123)
- formation energy from the elements (kJ/mol of atoms) = 4.62

Unit cell a=2.7929 b=2.7929 c=6.6436 alpha=90.00 beta=90.00 gamma=90.00
Element x y z (fractional)
Be (0.5000, 0.5000, 0.7500)
Pt (0.5000, 0.5000, 0.2500)
Os (0.0000, 0.0000, 0.5488)
Os (0.0000, 0.0000, 0.9512)

=====

[13]
A geometry-optimized Ta3Au structure, computed with GGA-PBE.

Summary:
- E above lowest polymorph (eV per formula unit) = 0.58
- space group = Imm2 (44)
- formation energy from the elements (kJ/mol of atoms) = 8.97

Unit cell a=5.7016 b=5.7016 c=5.7016 alpha=151.51 beta=124.46 gamma=63.59
Element x y z (fractional)
Au (0.0114, 0.0000, 0.0114)
Ta (0.0683, 0.7479, 0.3204)
Ta (0.5144, 0.5000, 0.0144)
Ta (0.5725, 0.2521, 0.3204)

=====

[14]
A geometry-optimized Cs2NpCl4F2 structure, computed with GGA-PBE.

Summary:
- space group = C2/m (12)
- total DFT energy (no corrections) (Ry per atom) = -0.3840

Unit cell a=5.9809 b=7.2879 c=7.2879 alpha=65.07 beta=81.94 gamma=81.94
Element x y z (fractional)
Np (0.5000, 0.0000, 0.0000)
F (0.7644, 0.8658, 0.8658)
F (0.2356, 0.1342, 0.1342)
Cl (0.6997, 0.8518, 0.3446)
Cl (0.3003, 0.1482, 0.6554)
Cl (0.3003, 0.6554, 0.1482)
Cl (0.6997, 0.3446, 0.8518)
Cs (0.1793, 0.6668, 0.6668)
Cs (0.8207, 0.3332, 0.3332)

=====

[15]
A geometry-optimized ZrTeMo4 structure, computed with GGA-PBE.

Summary:
- space group = F-43m (216)
- total DFT energy (no corrections) (Ry per atom) = -0.6594

Unit cell a=5.3701 b=5.3701 c=5.3701 alpha=60.00 beta=60.00 gamma=60.00
Element x y z (fractional)
Zr (0.0000, 0.0000, 0.0000)
Mo (0.3753, 0.3753, 0.8741)
Mo (0.3753, 0.3753, 0.3753)
Mo (0.3753, 0.8741, 0.3753)
Mo (0.8741, 0.3753, 0.3753)
Te (0.7500, 0.7500, 0.7500)

=====

[16]
A geometry-optimized Na3Pu3GeS8 structure, computed with GGA-PBE.

Summary:
- space group = R-3m (166)
- total DFT energy (no corrections) (Ry per atom) = -0.5085

Unit cell a=7.9853 b=7.9852 c=8.0300 alpha=119.84 beta=90.00 gamma=120.00
Element x y z (fractional)
S (0.2372, 0.9755, 0.7127)
S (0.7425, 0.4850, 0.7273)
S (0.2575, 0.5150, 0.2727)
S (0.2373, 0.4747, 0.7127)
S (0.2617, 0.0245, 0.2873)
S (0.7383, 0.9755, 0.7127)
S (0.7628, 0.0245, 0.2873)
S (0.7627, 0.5253, 0.2873)
Pu (0.5000, 0.5000, 0.5000)
Pu (0.5000, 0.0000, 0.5000)
Pu (0.0000, 0.5000, 0.5000)
Ge (0.0000, 0.0000, 0.5000)
Na (0.5000, 0.5000, 0.0000)
Na (0.0000, 0.0000, 0.0000)
Na (0.0000, 0.5000, 0.0000)

=====

[17]
A geometry-optimized TaVP2 structure, computed with GGA-PBE.

Summary:
- E above lowest polymorph (eV per formula unit) = 0.00
- space group = R3m (160)
- formation energy from the elements (kJ/mol of atoms) = -59.41

Unit cell a=3.3152 b=3.3152 c=6.5593 alpha=75.36 beta=75.36 gamma=60.00
Element x y z (fractional)
V (0.4997, 0.4997, 0.5008)
P (0.2446, 0.2446, 0.2661)
P (0.0889, 0.0889, 0.7333)
Ta (0.6667, 0.6667, 0.9998)